Entry 1:
A plane-wave DFT calculation with GGA-PBE was carried out for an optimized crystal structure of AcEr6Tl6.

Cell lengths 6.837, 6.837, 9.959 Å; angles 90.00, 90.00, 120.00 degrees
Fractional positions:
Tl (0.667, 0.333, 0.500)
Tl (0.667, 0.333, 0.000)
Tl (0.000, 0.000, 0.672)
Tl (0.333, 0.667, 0.500)
Tl (0.333, 0.667, 0.000)
Tl (0.000, 0.000, 0.328)
Er (0.000, 0.500, 0.753)
Er (0.500, 0.500, 0.753)
Er (0.500, 0.000, 0.753)
Er (0.500, 0.500, 0.247)
Er (0.000, 0.500, 0.247)
Er (0.500, 0.000, 0.247)
Ac (0.000, 0.000, 0.000)

Calculated values
For the density of states at the Fermi level, the calculation gives 13.90 states/eV/f.u. The size of the total moment is 0.0 μB/f.u. The calculation puts the uncorrected energy at -0.1346 Ha/atom. Its symmetry is P6/mmm.

---

Entry 2:
A plane-wave DFT calculation with GGA-PBE was carried out for an optimized crystal structure of Zn2FeTc.

Cell lengths 3.001, 3.001, 5.983 Å; angles 90.00, 90.00, 90.00 degrees
Fractional positions:
Zn (0.000, 0.000, 0.488)
Zn (0.000, 0.000, 0.012)
Fe (0.500, 0.500, 0.250)
Tc (0.500, 0.500, 0.750)

Calculated values
For the density of states at the Fermi level, the calculation gives 4.66 states/eV/f.u. The size of the total moment is 2.9 μB/f.u. Its polymorph energy (0 for the lowest one) is 215 meV/atom. Its symmetry is P4/mmm.

---

Entry 3:
A plane-wave DFT calculation with GGA-PBE was carried out for an optimized crystal structure of Ca2PuCo3H12.

Cell lengths 5.983, 5.983, 5.983 Å; angles 61.33, 61.33, 61.33 degrees
Fractional positions:
H (0.864, 0.864, 0.442)
H (0.729, 0.128, 0.729)
H (0.729, 0.729, 0.128)
H (0.136, 0.558, 0.136)
H (0.872, 0.271, 0.271)
H (0.271, 0.872, 0.271)
H (0.442, 0.864, 0.864)
H (0.864, 0.442, 0.864)
H (0.558, 0.136, 0.136)
H (0.271, 0.271, 0.872)
H (0.128, 0.729, 0.729)
H (0.136, 0.136, 0.558)
Ca (0.387, 0.387, 0.387)
Ca (0.613, 0.613, 0.613)
Co (0.000, 0.000, 0.500)
Co (0.500, 0.000, 0.000)
Co (0.000, 0.500, 0.000)
Pu (0.000, 0.000, 0.000)

Calculated values
For the density of states at the Fermi level, the calculation gives 11.57 states/eV/f.u. The size of the total moment is 8.1 μB/f.u. The calculation puts the uncorrected energy at -0.1725 Ha/atom. Its symmetry is R-3m.

---

Entry 4:
A plane-wave DFT calculation with GGA-PBE was carried out for an optimized crystal structure of TlAgC.

Cell lengths 5.419, 5.419, 6.041 Å; angles 115.08, 115.06, 60.84 degrees
Fractional positions:
Tl (0.400, 0.340, 0.557)
Tl (0.618, 0.558, 0.225)
Ag (0.009, 0.449, 0.891)
Ag (0.509, 0.949, 0.891)
C (0.077, 0.018, 0.889)
C (0.941, 0.881, 0.892)

Calculated values
For the density of states at the Fermi level, the calculation gives 0.76 states/eV/f.u. The size of the total moment is 0.0 μB/f.u. The calculation puts the uncorrected energy at -0.1529 Ha/atom. Its symmetry is C2/m.